SiNi2P | PBE | relaxed

The formation energy (no corrections) comes out at -0.333 eV per atom. The value obtained for the offset from the most stable computed form is 11.52 kJ/mol of atoms.

Lattice parameters (Å, degrees): 3.186 3.186 4.643 90.00 90.00 90.00
Positions (direct):
Si  0.500  0.500  0.783
Ni  0.500  0.500  0.290
Ni  0.000  0.000  0.964
P  0.000  0.000  0.463

---

Si3NiP | PBE | relaxed

The formation energy (no corrections) comes out at 1.010 eV per atom. The value obtained for the offset from the most stable computed form is 52.28 kJ/mol of atoms.

Lattice parameters (Å, degrees): 4.416 4.416 4.416 90.00 90.00 90.00
Positions (direct):
Ni  0.500  0.500  0.500
Si  0.000  0.500  0.000
Si  0.500  0.000  0.000
P  0.000  0.000  0.000
Si  0.000  0.000  0.500

---

SiNi3P | PBE | relaxed

The formation energy (no corrections) comes out at -0.423 eV per atom. The value obtained for the offset from the most stable computed form is 0.00 kJ/mol of atoms.

Lattice parameters (Å, degrees): 3.745 5.108 6.694 90.00 90.00 90.00
Positions (direct):
P  0.500  0.213  0.128
Ni  0.000  0.115  0.294
Si  0.000  0.664  0.361
Si  0.000  0.164  0.639
P  0.500  0.713  0.872
Ni  0.500  0.908  0.569
Ni  0.500  0.795  0.192
Ni  0.500  0.408  0.431
Ni  0.500  0.295  0.808
Ni  0.000  0.615  0.706

---

SiNiP2 | PBE | relaxed

The formation energy (no corrections) comes out at 0.091 eV per atom.

Lattice parameters (Å, degrees): 3.137 3.137 6.387 90.00 90.00 90.00
Positions (direct):
P  0.500  0.500  0.365
Ni  0.500  0.500  0.741
P  0.000  0.000  0.884
Si  0.000  0.000  0.510

---

SiNiP2 | PBE | relaxed

The formation energy (no corrections) comes out at 0.264 eV per atom.

Lattice parameters (Å, degrees): 2.635 3.127 6.390 90.00 90.00 90.00
Positions (direct):
P  0.000  0.000  0.976
Ni  0.500  0.500  0.750
Si  0.500  0.500  0.250
P  0.000  0.000  0.524

---

SiNiP2 | PBE | relaxed

The formation energy (no corrections) comes out at -0.268 eV per atom.

Lattice parameters (Å, degrees): 3.515 3.515 5.513 90.00 90.00 90.00
Positions (direct):
Si  0.000  0.000  0.000
Ni  0.500  0.500  0.500
P  0.500  0.000  0.259
P  0.000  0.500  0.741

---

| no. | N(E_F) (states/eV/atom) |
| --- | --- |
| 1 | 0.32 |
| 2 | 0.75 |
| 3 | 0.50 |
| 4 | 0.55 |
| 5 | 0.56 |
| 6 | 0.60 |